--- a ---
Computed, not measured: a geometry-optimized Ni2AgRu structure at the PBEsol level of DFT.

Unit cell a=2.627 b=3.521 c=5.507 alpha=90.00 beta=90.00 gamma=90.00
Space group Pmmm (No. 47)
One atom of each set of equivalent atoms:
1 Ni 0.000 0.000 0.221 (multiplicity 2)
2 Ag 0.500 0.500 0.500 (multiplicity 1)
3 Ru 0.500 0.500 0.000 (multiplicity 1)

Computed properties:
Density, kg/m3: 10640
Total magnetic moment, μB/cell: 0.004
Crystal system: orthorhombic

--- b ---
Computed, not measured: a geometry-optimized Ni2AgRu structure at the PBEsol level of DFT.

Unit cell a=5.920 b=5.920 c=5.920 alpha=90.00 beta=90.00 gamma=90.00
Space group F-43m (No. 216)
One atom of each set of equivalent atoms:
1 Ni 0.000 0.000 0.000 (multiplicity 4)
2 Ni 0.250 0.250 0.250 (multiplicity 4)
3 Ag 0.000 0.000 0.500 (multiplicity 4)
4 Ru 0.250 0.250 0.750 (multiplicity 4)

Computed properties:
Density, kg/m3: 10445
Total magnetic moment, μB/cell: 10.090
Crystal system: cubic

Result of the stability comparison: a is the most stable of them.

--- a ---
Computed, not measured: a geometry-optimized NiAgSb2 structure at the PBEsol level of DFT.

Unit cell a=4.437 b=4.459 c=7.720 alpha=90.00 beta=90.00 gamma=90.00
Space group Cmmm (No. 65)
One atom of each set of equivalent atoms:
1 Ni 0.000 0.000 0.000 (multiplicity 2)
2 Ag 0.000 0.000 0.500 (multiplicity 2)
3 Sb 0.000 0.500 0.215 (multiplicity 4)

Computed properties:
Density, kg/m3: 8917
Total magnetic moment, μB/cell: 0.000
Crystal system: orthorhombic

--- b ---
Computed, not measured: a geometry-optimized NiAgSb2 structure at the PBEsol level of DFT.

Unit cell a=4.035 b=4.035 c=9.459 alpha=90.00 beta=90.00 gamma=90.00
Space group I-4m2 (No. 119)
One atom of each set of equivalent atoms:
1 Ni 0.000 0.000 0.000 (multiplicity 2)
2 Ag 0.000 0.500 0.750 (multiplicity 2)
3 Sb 0.000 0.000 0.500 (multiplicity 2)
4 Sb 0.000 0.500 0.250 (multiplicity 2)

Computed properties:
Density, kg/m3: 8844
Total magnetic moment, μB/cell: 0.000
Crystal system: tetragonal

--- c ---
Computed, not measured: a geometry-optimized NiAgSb2 structure at the PBEsol level of DFT.

Unit cell a=6.300 b=7.401 c=3.286 alpha=90.00 beta=90.00 gamma=90.00
Space group Cmmm (No. 65)
One atom of each set of equivalent atoms:
1 Ni 0.000 0.000 0.000 (multiplicity 2)
2 Ag 0.000 0.500 0.000 (multiplicity 2)
3 Sb 0.250 0.250 0.500 (multiplicity 4)

Computed properties:
Density, kg/m3: 8888
Total magnetic moment, μB/cell: 0.000
Crystal system: orthorhombic

Result of the stability comparison: a is the most stable of them.

--- a ---
Computed, not measured: a geometry-optimized Sc2Ni2Ag structure at the PBEsol level of DFT.

Unit cell a=6.947 b=6.947 c=3.276 alpha=90.00 beta=90.00 gamma=90.00
Space group P4/mbm (No. 127)
One atom of each set of equivalent atoms:
1 Sc 0.171 0.329 0.000 (multiplicity 4)
2 Ni 0.125 0.625 0.500 (multiplicity 4)
3 Ag 0.000 0.000 0.500 (multiplicity 2)

Computed properties:
Density, kg/m3: 6619
Total magnetic moment, μB/cell: 0.000
Crystal system: tetragonal

--- b ---
Computed, not measured: a geometry-optimized Sc2Ni2Ag structure at the PBEsol level of DFT.

Unit cell a=4.787 b=4.787 c=7.409 alpha=90.00 beta=90.00 gamma=90.00
Space group I4/mmm (No. 139)
One atom of each set of equivalent atoms:
1 Sc 0.000 0.500 0.250 (multiplicity 4)
2 Ni 0.000 0.000 0.149 (multiplicity 4)
3 Ag 0.000 0.000 0.500 (multiplicity 2)

Computed properties:
Density, kg/m3: 6166
Total magnetic moment, μB/cell: 0.000
Crystal system: tetragonal

Result of the stability comparison: a is the most stable of them.

--- a ---
Computed, not measured: a geometry-optimized Ta2NiAg structure at the PBEsol level of DFT.

Unit cell a=2.774 b=3.987 c=5.578 alpha=90.00 beta=94.24 gamma=90.00
Space group P2/m (No. 10)
One atom of each set of equivalent atoms:
1 Ta 0.029 0.000 0.265 (multiplicity 2)
2 Ni 0.500 0.500 0.500 (multiplicity 1)
3 Ag 0.500 0.500 0.000 (multiplicity 1)

Computed properties:
Density, kg/m3: 14261
Total magnetic moment, μB/cell: 0.000
Crystal system: monoclinic

--- b ---
Computed, not measured: a geometry-optimized Ta2NiAg structure at the PBEsol level of DFT.

Unit cell a=3.893 b=3.893 c=4.048 alpha=90.00 beta=90.00 gamma=90.00
Space group P4/mmm (No. 123)
One atom of each set of equivalent atoms:
1 Ta 0.000 0.500 0.000 (multiplicity 2)
2 Ni 0.000 0.000 0.500 (multiplicity 1)
3 Ag 0.500 0.500 0.500 (multiplicity 1)

Computed properties:
Density, kg/m3: 14302
Total magnetic moment, μB/cell: 0.000
Crystal system: tetragonal

Result of the stability comparison: a is the most stable of them.

--- a ---
Computed, not measured: a geometry-optimized TaNiAg structure at the PBEsol level of DFT.

Unit cell a=5.828 b=5.828 c=5.828 alpha=90.00 beta=90.00 gamma=90.00
Space group F-43m (No. 216)
One atom of each set of equivalent atoms:
1 Ta 0.000 0.000 0.000 (multiplicity 4)
2 Ni 0.250 0.250 0.250 (multiplicity 4)
3 Ag 0.000 0.000 0.500 (multiplicity 4)

Computed properties:
Density, kg/m3: 11662
Total magnetic moment, μB/cell: 0.024
Crystal system: cubic

--- b ---
Computed, not measured: a geometry-optimized TaNiAg structure at the PBEsol level of DFT.

Unit cell a=2.795 b=3.743 c=8.384 alpha=90.00 beta=90.00 gamma=90.00
Space group Imm2 (No. 44)
One atom of each set of equivalent atoms:
1 Ta 0.000 0.000 0.000 (multiplicity 2)
2 Ni 0.000 0.000 0.347 (multiplicity 2)
3 Ag 0.000 0.000 0.682 (multiplicity 2)

Computed properties:
Density, kg/m3: 13154
Total magnetic moment, μB/cell: 0.000
Crystal system: orthorhombic

Result of the stability comparison: b is the most stable of them.

--- a ---
Computed, not measured: a geometry-optimized TaNiAg2 structure at the PBEsol level of DFT.

Unit cell a=6.226 b=6.226 c=6.226 alpha=90.00 beta=90.00 gamma=90.00
Space group F-43m (No. 216)
One atom of each set of equivalent atoms:
1 Ta 0.000 0.000 0.000 (multiplicity 4)
2 Ni 0.250 0.250 0.750 (multiplicity 4)
3 Ag 0.000 0.000 0.500 (multiplicity 4)
4 Ag 0.250 0.250 0.250 (multiplicity 4)

Computed properties:
Density, kg/m3: 12532
Total magnetic moment, μB/cell: 0.004
Crystal system: cubic

--- b ---
Computed, not measured: a geometry-optimized TaNiAg2 structure at the PBEsol level of DFT.

Unit cell a=2.755 b=2.755 c=7.963 alpha=90.00 beta=90.00 gamma=90.00
Space group P4/mmm (No. 123)
One atom of each set of equivalent atoms:
1 Ta 0.000 0.000 0.000 (multiplicity 1)
2 Ni 0.000 0.000 0.500 (multiplicity 1)
3 Ag 0.500 0.500 0.274 (multiplicity 2)

Computed properties:
Density, kg/m3: 12513
Total magnetic moment, μB/cell: 0.002
Crystal system: tetragonal

Result of the stability comparison: a is the most stable of them.

--- a ---
Computed, not measured: a geometry-optimized Y2Ni2Ag structure at the PBEsol level of DFT.

Unit cell a=7.108 b=7.108 c=3.665 alpha=90.00 beta=90.00 gamma=90.00
Space group P4/mbm (No. 127)
One atom of each set of equivalent atoms:
1 Y 0.177 0.323 0.000 (multiplicity 4)
2 Ni 0.119 0.619 0.500 (multiplicity 4)
3 Ag 0.000 0.000 0.500 (multiplicity 2)

Computed properties:
Density, kg/m3: 7228
Total magnetic moment, μB/cell: 0.001
Crystal system: tetragonal

--- b ---
Computed, not measured: a geometry-optimized Y2Ni2Ag structure at the PBEsol level of DFT.

Unit cell a=5.122 b=5.122 c=7.482 alpha=90.00 beta=90.00 gamma=90.00
Space group I4/mmm (No. 139)
One atom of each set of equivalent atoms:
1 Y 0.000 0.500 0.250 (multiplicity 4)
2 Ni 0.000 0.000 0.151 (multiplicity 4)
3 Ag 0.000 0.000 0.500 (multiplicity 2)

Computed properties:
Density, kg/m3: 6821
Total magnetic moment, μB/cell: 0.001
Crystal system: tetragonal

Result of the stability comparison: a is the most stable of them.

--- a ---
Computed, not measured: a geometry-optimized Zr2Ni2Ag structure at the PBEsol level of DFT.

Unit cell a=3.287 b=3.287 c=15.799 alpha=90.00 beta=90.00 gamma=90.00
Space group I4/mmm (No. 139)
One atom of each set of equivalent atoms:
1 Zr 0.000 0.000 0.122 (multiplicity 4)
2 Ni 0.000 0.500 0.250 (multiplicity 4)
3 Ag 0.000 0.000 0.500 (multiplicity 2)

Computed properties:
Density, kg/m3: 7932
Total magnetic moment, μB/cell: 0.001
Crystal system: tetragonal

--- b ---
Computed, not measured: a geometry-optimized Zr2Ni2Ag structure at the PBEsol level of DFT.

Unit cell a=7.020 b=7.020 c=3.258 alpha=90.00 beta=90.00 gamma=90.00
Space group P4/mbm (No. 127)
One atom of each set of equivalent atoms:
1 Zr 0.171 0.329 0.000 (multiplicity 4)
2 Ni 0.125 0.625 0.500 (multiplicity 4)
3 Ag 0.000 0.000 0.500 (multiplicity 2)

Computed properties:
Density, kg/m3: 8432
Total magnetic moment, μB/cell: 0.000
Crystal system: tetragonal

Result of the stability comparison: b is the most stable of them.

--- a ---
Computed, not measured: a geometry-optimized Ag2O structure at the PBEsol level of DFT.

Unit cell a=4.703 b=4.703 c=4.703 alpha=90.00 beta=90.00 gamma=90.00
Space group Pn-3m (No. 224, origin choice 2)
One atom of each set of equivalent atoms:
1 Ag 0.000 0.000 0.000 (multiplicity 4)
2 O 0.250 0.250 0.250 (multiplicity 2)

Computed properties:
Density, kg/m3: 7396
Total magnetic moment, μB/cell: 0.000
Crystal system: cubic

--- b ---
Computed, not measured: a geometry-optimized Ag2O structure at the PBEsol level of DFT.

Unit cell a=6.736 b=9.249 c=6.162 alpha=90.00 beta=90.00 gamma=90.00
Space group Ibam (No. 72)
One atom of each set of equivalent atoms:
1 Ag 0.000 0.000 0.000 (multiplicity 4)
2 Ag 0.000 0.500 0.250 (multiplicity 4)
3 Ag 0.250 0.250 0.250 (multiplicity 8)
4 O 0.225 0.399 0.000 (multiplicity 8)

Computed properties:
Density, kg/m3: 8018
Total magnetic moment, μB/cell: 0.000
Crystal system: orthorhombic

Result of the stability comparison: a is the most stable of them.

--- a ---
Computed, not measured: a geometry-optimized Zn2AgWO6 structure at the PBEsol level of DFT.

Unit cell a=10.207 b=5.410 c=4.971 alpha=90.00 beta=118.26 gamma=90.00
Space group C2/m (No. 12)
One atom of each set of equivalent atoms:
1 Zn 0.249 0.000 0.173 (multiplicity 4)
2 Ag 0.000 0.500 0.000 (multiplicity 2)
3 W 0.000 0.000 0.500 (multiplicity 2)
4 O 0.100 0.251 0.820 (multiplicity 8)
5 O 0.165 0.000 0.435 (multiplicity 4)

Computed properties:
Density, kg/m3: 7123
Total magnetic moment, μB/cell: 1.674
Crystal system: monoclinic

--- b ---
Computed, not measured: a geometry-optimized Zn2AgWO6 structure at the PBEsol level of DFT.

Unit cell a=5.183 b=5.148 c=9.699 alpha=90.00 beta=119.55 gamma=90.00
Space group P2_1/c (No. 14)
One atom of each set of equivalent atoms:
1 Zn 0.216 0.015 0.238 (multiplicity 4)
2 Ag 0.000 0.000 0.500 (multiplicity 2)
3 W 0.500 0.000 0.000 (multiplicity 2)
4 O 0.172 0.128 0.799 (multiplicity 4)
5 O 0.230 0.659 0.555 (multiplicity 4)
6 O 0.462 0.190 0.598 (multiplicity 4)

Computed properties:
Density, kg/m3: 7650
Total magnetic moment, μB/cell: 0.082
Crystal system: monoclinic

Result of the stability comparison: a is the most stable of them.

--- a ---
Computed, not measured: a geometry-optimized Ag2Os structure at the PBEsol level of DFT.

Unit cell a=4.258 b=11.901 c=3.789 alpha=90.00 beta=90.00 gamma=90.00
Space group Cmcm (No. 63)
One atom of each set of equivalent atoms:
1 Ag 0.000 0.087 0.250 (multiplicity 4)
2 Ag 0.000 0.252 0.750 (multiplicity 4)
3 Os 0.000 0.437 0.250 (multiplicity 4)

Computed properties:
Density, kg/m3: 14045
Total magnetic moment, μB/cell: 0.026
Crystal system: orthorhombic

--- b ---
Computed, not measured: a geometry-optimized Ag2Os structure at the PBEsol level of DFT.

Unit cell a=2.7380 b=2.7380 c=7.1043 alpha=90.00 beta=90.00 gamma=120.00
Space group P-3m1 (No. 164)
One atom of each set of equivalent atoms:
1 Ag 0.3333 0.6667 0.1688 (multiplicity 2)
2 Os 0.0000 0.0000 0.5000 (multiplicity 1)

Computed properties:
Density, kg/m3: 14616
Total magnetic moment, μB/cell: 0.000
Crystal system: trigonal

Result of the stability comparison: b is the most stable of them.

--- a ---
Computed, not measured: a geometry-optimized AgP2Os structure at the PBEsol level of DFT.

Unit cell a=2.843 b=3.615 c=12.192 alpha=90.00 beta=90.00 gamma=90.00
Space group Imm2 (No. 44)
One atom of each set of equivalent atoms:
1 Ag 0.000 0.000 0.000 (multiplicity 2)
2 P 0.000 0.000 0.621 (multiplicity 2)
3 P 0.000 0.500 0.840 (multiplicity 2)
4 Os 0.000 0.500 0.275 (multiplicity 2)

Computed properties:
Density, kg/m3: 9543
Total magnetic moment, μB/cell: 0.000
Crystal system: orthorhombic

--- b ---
Computed, not measured: a geometry-optimized AgP2Os structure at the PBEsol level of DFT.

Unit cell a=7.592 b=2.993 c=5.313 alpha=90.00 beta=99.60 gamma=90.00
Space group C2/m (No. 12)
One atom of each set of equivalent atoms:
1 Ag 0.000 0.000 0.000 (multiplicity 2)
2 P 0.230 0.000 0.707 (multiplicity 4)
3 Os 0.000 0.500 0.500 (multiplicity 2)

Computed properties:
Density, kg/m3: 10046
Total magnetic moment, μB/cell: 0.000
Crystal system: monoclinic

--- c ---
Computed, not measured: a geometry-optimized AgP2Os structure at the PBEsol level of DFT.

Unit cell a=4.369 b=4.369 c=2.956 alpha=90.00 beta=90.00 gamma=90.00
Space group P4/mmm (No. 123)
One atom of each set of equivalent atoms:
1 Ag 0.000 0.000 0.000 (multiplicity 1)
2 P 0.000 0.500 0.500 (multiplicity 2)
3 Os 0.500 0.500 0.000 (multiplicity 1)

Computed properties:
Density, kg/m3: 10596
Total magnetic moment, μB/cell: 0.000
Crystal system: tetragonal

--- d ---
Computed, not measured: a geometry-optimized AgP2Os structure at the PBEsol level of DFT.

Unit cell a=2.879 b=3.721 c=5.526 alpha=90.00 beta=90.00 gamma=90.00
Space group Pmm2 (No. 25)
One atom of each set of equivalent atoms:
1 Ag 0.000 0.000 0.000 (multiplicity 1)
2 P 0.000 0.000 0.467 (multiplicity 1)
3 P 0.500 0.500 0.780 (multiplicity 1)
4 Os 0.500 0.500 0.357 (multiplicity 1)

Computed properties:
Density, kg/m3: 10098
Total magnetic moment, μB/cell: 0.000
Crystal system: orthorhombic

Result of the stability comparison: a is the most stable of them.